The following is a GGA-PBE calculation of an optimized crystal structure of BaRh3, from Alexandria. Values from VASP.

Computed properties:
Calculated total energy ... -5.610 eV/atom
Total magnetization ... 0.4 μB per cell

Structure (Quantum ESPRESSO input):
```
&SYSTEM
  ibrav = 0, nat = 4, ntyp = 2
/
ATOMIC_SPECIES
Ba 137.33 Ba.upf
Rh 102.91 Rh.upf
ATOMIC_POSITIONS angstrom
Ba 0.000 0.000 0.000
Rh 0.273 -5.382 0.654
Rh 1.533 -3.267 -0.293
Rh -0.810 -3.035 0.895
CELL_PARAMETERS angstrom
-3.604 -1.883 2.135
-0.366 -1.926 -2.317
3.433 -4.608 1.731
```

***

The following is a GGA-PBE calculation of an optimized crystal structure of ScVHRh2, from Alexandria. Values from VASP.

Computed properties:
Calculated total energy ... -7.105 eV/atom
Total magnetization ... 2.5 μB per cell

Structure (Quantum ESPRESSO input):
```
&SYSTEM
  ibrav = 0, nat = 5, ntyp = 4
/
ATOMIC_SPECIES
Sc 44.96 Sc.upf
H 1.01 H.upf
Rh 102.91 Rh.upf
V 50.94 V.upf
ATOMIC_POSITIONS angstrom
Sc 2.054 2.054 1.906
H 0.000 0.000 0.000
Rh 0.000 2.054 0.000
Rh 2.054 0.000 0.000
V 0.000 0.000 1.906
CELL_PARAMETERS angstrom
4.109 0.000 0.000
0.000 4.109 0.000
0.000 0.000 3.813
```

***

The following is a GGA-PBE calculation of an optimized crystal structure of LaInAu2Br, from Alexandria. Values from VASP.

Computed properties:
Calculated total energy ... -2.908 eV/atom
Uncorrected formation energy ... 0.2709 eV per atom
Total magnetization ... 0.0 μB per cell

Structure (Quantum ESPRESSO input):
```
&SYSTEM
  ibrav = 0, nat = 5, ntyp = 4
/
ATOMIC_SPECIES
In 114.82 In.upf
Au 196.97 Au.upf
Br 79.90 Br.upf
La 138.91 La.upf
ATOMIC_POSITIONS angstrom
In 1.851 -1.351 1.680
Au -1.386 0.655 2.053
Au -1.363 -2.157 -0.232
Br 0.000 0.000 0.000
La -0.897 -2.853 3.501
CELL_PARAMETERS angstrom
-2.726 -4.314 -0.464
3.703 -2.702 3.361
-2.771 1.310 4.106
```

***

The following is a GGA-PBE calculation of an optimized crystal structure of ZrIr3Os, from Alexandria. Values from VASP.

Computed properties:
E above lowest polymorph ... 1.0442 eV/atom
Calculated total energy ... -7.006 eV/atom
Total magnetization ... 3.7 μB per cell

Structure (Quantum ESPRESSO input):
```
&SYSTEM
  ibrav = 0, nat = 5, ntyp = 3
/
ATOMIC_SPECIES
Ir 192.22 Ir.upf
Os 190.23 Os.upf
Zr 91.22 Zr.upf
ATOMIC_POSITIONS angstrom
Ir 0.000 2.386 0.000
Ir 0.000 0.000 2.386
Ir 2.386 0.000 0.000
Os 2.386 2.386 2.386
Zr 0.000 0.000 0.000
CELL_PARAMETERS angstrom
4.772 0.000 0.000
0.000 4.772 0.000
0.000 0.000 4.772
```

***

The following is a GGA-PBE calculation of an optimized crystal structure of La2ZrCr, from Alexandria. Values from VASP.

Computed properties:
E above lowest polymorph ... 0.0402 eV/atom
Calculated total energy ... -6.679 eV/atom
Total magnetization ... 2.8 μB per cell

Structure (Quantum ESPRESSO input):
```
&SYSTEM
  ibrav = 0, nat = 4, ntyp = 3
/
ATOMIC_SPECIES
Cr 52.00 Cr.upf
La 138.91 La.upf
Zr 91.22 Zr.upf
ATOMIC_POSITIONS angstrom
Cr 1.626 -2.921 0.920
La -0.013 -0.281 0.035
La -0.937 -2.315 2.905
Zr -0.230 -4.978 0.619
CELL_PARAMETERS angstrom
-2.824 -5.051 2.688
2.324 -5.789 -1.340
1.196 5.766 2.457
```

***

The following is a GGA-PBE calculation of an optimized crystal structure of CoTc2, from Alexandria. Values from VASP.

Computed properties:
E above lowest polymorph ... 0.1684 eV/atom
Calculated total energy ... -9.098 eV/atom
Total magnetization ... 1.8 μB per cell

Structure (Quantum ESPRESSO input):
```
&SYSTEM
  ibrav = 0, nat = 3, ntyp = 2
/
ATOMIC_SPECIES
Co 58.93 Co.upf
Tc 98.00 Tc.upf
ATOMIC_POSITIONS angstrom
Co 0.000 0.000 0.000
Tc 0.191 -0.486 2.546
Tc 0.410 -0.946 5.119
CELL_PARAMETERS angstrom
-2.290 0.150 2.111
1.056 -2.615 1.331
1.836 1.032 4.223
```

***

The following is a GGA-PBE calculation of an optimized crystal structure of Cr2SiMo, from Alexandria. Values from VASP.

Computed properties:
Calculated total energy ... -8.917 eV/atom
Uncorrected formation energy ... -0.0414 eV per atom
Total magnetization ... 1.0 μB per cell

Structure (Quantum ESPRESSO input):
```
&SYSTEM
  ibrav = 0, nat = 4, ntyp = 3
/
ATOMIC_SPECIES
Cr 52.00 Cr.upf
Mo 95.94 Mo.upf
Si 28.09 Si.upf
ATOMIC_POSITIONS angstrom
Cr 0.000 0.000 0.000
Cr 1.120 2.139 1.254
Mo 3.535 2.130 0.000
Si 2.415 -0.010 1.254
CELL_PARAMETERS angstrom
4.830 -0.019 0.000
2.241 4.279 0.000
-3.535 -2.130 2.509
```

***

The following is a GGA-PBE calculation of an optimized crystal structure of CdFe, from Alexandria. Values from VASP.

Computed properties:
Calculated total energy ... -4.491 eV/atom
Total magnetization ... 19.9 μB per cell

Structure (Quantum ESPRESSO input):
```
&SYSTEM
  ibrav = 0, nat = 16, ntyp = 2
/
ATOMIC_SPECIES
Cd 112.41 Cd.upf
Fe 55.84 Fe.upf
ATOMIC_POSITIONS angstrom
Cd 1.565 8.194 0.000
Cd 7.987 1.358 0.000
Cd 1.358 1.565 0.000
Cd 8.194 7.987 0.000
Cd 6.342 3.418 1.483
Cd 3.211 6.134 1.483
Cd 6.134 6.342 1.483
Cd 3.418 3.211 1.483
Fe 4.972 1.350 0.000
Fe 4.580 8.203 0.000
Fe 8.203 4.972 0.000
Fe 1.350 4.580 0.000
Fe 0.196 6.126 1.483
Fe 9.357 3.426 1.483
Fe 3.426 0.196 1.483
Fe 6.126 9.357 1.483
CELL_PARAMETERS angstrom
9.552 0.000 0.000
0.000 9.552 0.000
0.000 0.000 2.965
```

***

The following is a GGA-PBE calculation of an optimized crystal structure of Pm2MgBPt6, from Alexandria. Values from VASP.

Computed properties:
Calculated total energy ... -6.251 eV/atom
Total magnetization ... 0.0 μB per cell

Structure (Quantum ESPRESSO input):
```
&SYSTEM
  ibrav = 0, nat = 20, ntyp = 4
/
ATOMIC_SPECIES
Pm 145.00 Pm.upf
Mg 24.30 Mg.upf
B 10.81 B.upf
Pt 195.08 Pt.upf
ATOMIC_POSITIONS angstrom
Pm -5.892 -0.067 -2.953
Pm -6.401 0.157 3.177
Pm -8.731 0.666 -0.485
Pm -2.770 -0.780 0.021
Mg -6.455 -1.899 -0.081
Mg -2.207 1.052 -2.852
B -4.797 2.435 0.539
B -3.865 -3.282 -3.472
Pt -2.941 2.264 -0.582
Pt -6.096 3.079 2.161
Pt -5.722 -3.111 -2.351
Pt -9.036 -2.255 0.530
Pt -8.247 -2.027 -2.104
Pt -8.953 0.439 -3.649
Pt -5.468 0.435 0.362
Pt -6.127 2.737 -1.080
Pt -3.884 1.123 -4.802
Pt -3.195 -1.282 -3.295
Pt -0.416 1.180 -0.829
Pt -1.057 3.421 -2.233
CELL_PARAMETERS angstrom
-1.348 4.708 -2.949
-4.754 -4.036 -4.270
-6.470 1.671 5.624
```

***

The following is a GGA-PBE calculation of an optimized crystal structure of Ti3AlH, from Alexandria. Values from VASP.

Computed properties:
Calculated total energy ... -6.513 eV/atom
Total magnetization ... 0.0 μB per cell

Structure (Quantum ESPRESSO input):
```
&SYSTEM
  ibrav = 0, nat = 10, ntyp = 3
/
ATOMIC_SPECIES
H 1.01 H.upf
Al 26.98 Al.upf
Ti 47.87 Ti.upf
ATOMIC_POSITIONS angstrom
H 3.529 3.626 1.885
H 3.527 1.312 1.882
Al 0.673 2.469 3.589
Al 0.663 0.155 0.194
Ti -0.705 0.154 2.736
Ti 2.041 2.469 1.047
Ti 3.534 2.469 3.729
Ti 2.049 0.154 2.728
Ti 3.523 0.154 0.038
Ti 5.008 2.469 1.039
CELL_PARAMETERS angstrom
5.721 0.000 -0.016
0.000 4.629 0.000
-2.844 0.000 5.095
```

***

The following is a GGA-PBE calculation of an optimized crystal structure of CaMg2TcN4, from Alexandria. Values from VASP.

Computed properties:
Calculated total energy ... -6.732 eV/atom
Uncorrected formation energy ... -0.6246 eV per atom
Total magnetization ... 2.0 μB per cell

Structure (Quantum ESPRESSO input):
```
&SYSTEM
  ibrav = 0, nat = 16, ntyp = 4
/
ATOMIC_SPECIES
Ca 40.08 Ca.upf
Mg 24.30 Mg.upf
Tc 98.00 Tc.upf
N 14.01 N.upf
ATOMIC_POSITIONS angstrom
Ca 5.277 0.968 3.594
Ca 2.575 4.912 0.000
Mg 2.659 1.941 1.821
Mg 2.659 1.941 5.368
Mg 5.361 3.939 5.415
Mg 5.361 3.939 1.773
Tc 2.711 4.792 3.594
Tc 0.009 1.089 0.000
N 1.862 1.269 0.000
N 4.564 4.612 3.594
N 2.355 0.773 3.594
N 5.057 5.107 0.000
N 2.046 3.934 5.111
N 4.748 1.946 1.517
N 4.748 1.946 5.672
N 2.046 3.934 2.078
CELL_PARAMETERS angstrom
5.404 0.000 0.000
0.000 5.881 0.000
0.000 0.000 7.189
```

***

The following is a GGA-PBE calculation of an optimized crystal structure of Ca2CdInHg, from Alexandria. Values from VASP.

Computed properties:
Calculated total energy ... -2.005 eV/atom
Total magnetization ... 0.0 μB per cell

Structure (Quantum ESPRESSO input):
```
&SYSTEM
  ibrav = 0, nat = 10, ntyp = 4
/
ATOMIC_SPECIES
Ca 40.08 Ca.upf
Cd 112.41 Cd.upf
In 114.82 In.upf
Hg 200.59 Hg.upf
ATOMIC_POSITIONS angstrom
Ca 3.434 -5.639 4.428
Ca -0.808 -4.979 3.931
Ca 2.495 -0.512 1.538
Ca 6.737 -1.172 2.035
Cd 4.283 -3.294 1.900
Cd 1.647 -2.856 4.066
In 1.617 -4.757 1.702
In 4.313 -1.393 4.264
Hg 6.000 -5.585 2.224
Hg -0.071 -0.565 3.742
CELL_PARAMETERS angstrom
-0.525 0.297 4.879
-1.127 -7.638 0.343
7.582 1.191 0.744
```

***

The following is a GGA-PBE calculation of an optimized crystal structure of Ba2GaN, from Alexandria. Values from VASP.

Computed properties:
E above lowest polymorph ... 0.8091 eV/atom
Calculated total energy ... -3.435 eV/atom
Uncorrected formation energy ... 0.3642 eV per atom
Total magnetization ... 0.0 μB per cell

Structure (Quantum ESPRESSO input):
```
&SYSTEM
  ibrav = 0, nat = 4, ntyp = 3
/
ATOMIC_SPECIES
Ba 137.33 Ba.upf
Ga 69.72 Ga.upf
N 14.01 N.upf
ATOMIC_POSITIONS angstrom
Ba 1.911 1.911 1.911
Ba 5.733 5.733 5.733
Ga 3.822 3.822 3.822
N 0.000 0.000 0.000
CELL_PARAMETERS angstrom
0.000 3.822 3.822
3.822 0.000 3.822
3.822 3.822 0.000
```

***

The following is a GGA-PBE calculation of an optimized crystal structure of CuNi4Sb2, from Alexandria. Values from VASP.

Computed properties:
Calculated total energy ... -4.635 eV/atom
Uncorrected formation energy ... 0.4312 eV per atom
Total magnetization ... 0.0 μB per cell

Structure (Quantum ESPRESSO input):
```
&SYSTEM
  ibrav = 0, nat = 7, ntyp = 3
/
ATOMIC_SPECIES
Sb 121.76 Sb.upf
Cu 63.55 Cu.upf
Ni 58.69 Ni.upf
ATOMIC_POSITIONS angstrom
Sb 4.294 4.294 4.737
Sb 2.147 2.147 1.647
Cu 0.000 0.000 0.000
Ni 4.294 4.294 2.307
Ni 2.147 2.147 4.078
Ni 0.000 2.147 0.000
Ni 2.147 0.000 0.000
CELL_PARAMETERS angstrom
4.294 0.000 0.000
0.000 4.294 0.000
2.147 2.147 6.385
```

***

The following is a GGA-PBE calculation of an optimized crystal structure of Tb2DyPuN4, from Alexandria. Values from VASP.

Computed properties:
Calculated total energy ... -9.251 eV/atom
Uncorrected formation energy ... -1.5642 eV per atom
Total magnetization ... 4.7 μB per cell

Structure (Quantum ESPRESSO input):
```
&SYSTEM
  ibrav = 0, nat = 8, ntyp = 4
/
ATOMIC_SPECIES
Tb 158.93 Tb.upf
Dy 162.50 Dy.upf
Pu 244.00 Pu.upf
N 14.01 N.upf
ATOMIC_POSITIONS angstrom
Tb 1.745 -1.050 2.821
Tb 0.000 1.959 2.876
Dy 1.745 3.009 0.055
Pu 0.000 0.000 0.000
N 1.745 0.955 1.391
N 1.745 2.963 4.361
N 0.000 -0.102 4.290
N 0.000 4.020 1.461
CELL_PARAMETERS angstrom
3.491 0.000 0.000
0.000 6.017 0.110
0.000 -2.099 5.642
```